# 1
Here is an optimized crystal structure of SiPbBr from the Alexandria database. Energies are from PBEsol.

Cell: 6.9695 6.9695 6.9695 Å, 90.00 90.00 90.00°
With the nearest neighbours (Å) after each atom.
Space group F-43m (No. 216)
Symmetry-distinct sites (fractional):
Si1 0.0000 0.0000 0.0000  4 Br 3.02
Pb1 0.0000 0.0000 0.5000  4 Br 3.02
Br1 0.2500 0.2500 0.2500  4 Pb 3.02, 4 Si 3.02

Summary:
The calculation puts the formation energy without anion corrections at 777 meV/atom. The calculation puts the total DFT energy (no corrections) at -3.094 eV/atom. Its crystal system is cubic. The calculation puts the calculated volume at 28.21 Å³/atom.

---

# 2
Here is an optimized crystal structure of Lu2Ni12As7 from the Alexandria database. Energies are from PBEsol.

Cell: 9.2109 9.2109 3.7475 Å, 90.00 90.00 120.00°
With the nearest neighbours (Å) after each atom.
Space group P-6 (No. 174)
Symmetry-distinct sites (fractional):
Lu1 0.0000 0.0000 0.0000  6 As 2.91, 12 Ni 3.07-3.22
Lu2 0.3333 0.6667 0.5000  6 As 2.91, 9 Ni 3.00-3.18
Ni1 0.0436 0.2843 0.5000  4 As 2.31-2.37
Ni2 0.1075 0.7169 0.0000  4 As 2.28-2.37, 1 Ni 2.53
Ni3 0.3852 0.1814 0.0000  4 As 2.25-2.34
Ni4 0.5513 0.4286 0.5000  5 As 2.41-2.57, 1 Ni 2.64
As1 0.0708 0.4533 0.0000  5 Ni 2.28-2.37
As2 0.2568 0.2219 0.5000  7 Ni 2.31-2.41
As3 0.6667 0.3333 0.0000  3 Ni 2.25

Summary:
The calculation puts the total DFT energy (no corrections) at -6.253 eV/atom. Its crystal system is hexagonal. The calculation puts the calculated volume at 13.11 Å³/atom.

---

# 3
Here is an optimized crystal structure of SbSeCl2 from the Alexandria database. Energies are from PBEsol.

Cell: 6.8764 6.8764 6.8764 Å, 90.00 90.00 90.00°
With the nearest neighbours (Å) after each atom.
Space group F-43m (No. 216)
Symmetry-distinct sites (fractional):
Sb1 0.0000 0.0000 0.0000  4 Cl 2.98, 4 Se 2.98
Se1 0.2500 0.2500 0.2500  4 Cl 2.98, 4 Sb 2.98
Cl1 0.0000 0.0000 0.5000  4 Se 2.98, 4 Cl 2.98
Cl2 0.2500 0.2500 0.7500  4 Cl 2.98, 4 Sb 2.98

Summary:
The calculation puts the formation energy without anion corrections at -161 meV/atom. The calculation puts the total DFT energy (no corrections) at -3.266 eV/atom. The excess energy over the best structure of this formula in the dataset comes out at 222.2 meV per atom. Its crystal system is cubic. The calculation puts the calculated volume at 20.32 Å³/atom.

---

# 4
Here is an optimized crystal structure of Ba2CdN2 from the Alexandria database. Energies are from PBEsol.

Cell: 4.1583 4.1583 13.6995 Å, 90.00 90.00 90.00°
With the nearest neighbours (Å) after each atom.
Space group I4/mmm (No. 139)
Symmetry-distinct sites (fractional):
Ba1 0.0000 0.0000 0.1603  1 N 2.61
Cd1 0.0000 0.0000 0.5000  2 N 2.04
N1 0.0000 0.0000 0.3508  1 Cd 2.04

Summary:
The calculation puts the formation energy without anion corrections at -339 meV/atom. The calculation puts the total DFT energy (no corrections) at -4.849 eV/atom. Its crystal system is tetragonal. The calculation puts the calculated volume at 23.69 Å³/atom.

---

# 5
Here is an optimized crystal structure of Co2PtW from the Alexandria database. Energies are from PBEsol.

Cell: 3.6513 3.6513 7.5505 Å, 90.00 90.00 90.00°
With the nearest neighbours (Å) after each atom.
Space group I-4m2 (No. 119)
Symmetry-distinct sites (fractional):
Co1 0.0000 0.0000 0.0000  4 W 2.58, 4 Co 2.63, 4 Pt 2.63
Co2 0.0000 0.5000 0.2500  4 Pt 2.58, 4 W 2.63, 4 Co 2.63
Pt1 0.0000 0.5000 0.7500  8 Co 2.58-2.63, 4 W 2.63
W1 0.0000 0.0000 0.5000  8 Co 2.58-2.63, 4 Pt 2.63

Summary:
The calculation puts the total DFT energy (no corrections) at -9.204 eV/atom. The excess energy over the best structure of this formula in the dataset comes out at 0.0 meV per atom. Its crystal system is tetragonal. The calculation puts the calculated volume at 12.58 Å³/atom.

---

# 6
Here is an optimized crystal structure of Y2ZrBr from the Alexandria database. Energies are from PBEsol.

Cell: 3.3054 5.5378 11.1748 Å, 90.00 90.00 90.00°
With the nearest neighbours (Å) after each atom.
Space group Imm2 (No. 44)
Symmetry-distinct sites (fractional):
Y1 0.0000 0.0000 0.0000  4 Br 3.25, 2 Zr 3.30, 4 Y 3.31-3.62
Y2 0.0000 0.5000 0.2092  2 Br 3.19, 4 Zr 3.27, 2 Y 3.31
Zr1 0.0000 0.5000 0.7557  2 Br 2.87
Br1 0.0000 0.0000 0.4653  2 Zr 2.87, 2 Y 3.19

Summary:
The calculation puts the formation energy without anion corrections at -232 meV/atom. The calculation puts the total DFT energy (no corrections) at -6.383 eV/atom. The excess energy over the best structure of this formula in the dataset comes out at 222.9 meV per atom. Its crystal system is orthorhombic. The calculation puts the calculated volume at 25.57 Å³/atom.